1.
{"formula": "Sc3Co2NiSn3", "functional": "PBE", "state": "relaxed", "lattice": [[7.323, 0.000, 0.000], [-3.662, 6.342, 0.000], [0.000, 0.000, 3.412]], "species": ["Sc", "Sc", "Sc", "Co", "Co", "Ni", "Sn", "Sn", "Sn"], "frac_coords": [[0.000, 0.604, 0.000], [0.396, 0.396, 0.000], [0.604, 0.000, 0.000], [0.333, 0.667, 0.500], [0.667, 0.333, 0.500], [0.000, 0.000, 0.000], [0.000, 0.274, 0.500], [0.274, 0.000, 0.500], [0.726, 0.726, 0.500]], "e_tot_ev_per_atom": -6.19}

***

2.
{"formula": "TbBiN2O", "functional": "PBE", "state": "relaxed", "lattice": [[8.053, 0.000, 0.000], [0.000, 5.806, 0.000], [0.000, 0.000, 6.039]], "species": ["Tb", "Tb", "Tb", "Tb", "Bi", "Bi", "Bi", "Bi", "N", "N", "N", "N", "N", "N", "N", "N", "O", "O", "O", "O"], "frac_coords": [[0.000, 0.232, 0.000], [0.000, 0.768, 0.500], [0.500, 0.253, 0.116], [0.500, 0.747, 0.616], [0.253, 0.267, 0.563], [0.253, 0.733, 0.063], [0.747, 0.267, 0.563], [0.747, 0.733, 0.063], [0.000, 0.378, 0.629], [0.000, 0.622, 0.129], [0.302, 0.411, 0.890], [0.302, 0.589, 0.390], [0.500, 0.115, 0.487], [0.500, 0.885, 0.987], [0.698, 0.411, 0.890], [0.698, 0.589, 0.390], [0.178, 0.057, 0.261], [0.178, 0.943, 0.761], [0.822, 0.057, 0.261], [0.822, 0.943, 0.761]], "e_tot_ev_per_atom": -6.66}

***

3.
{"formula": "KNiAu3C6N6", "functional": "PBE", "state": "relaxed", "lattice": [[6.702, 0.000, 0.000], [-3.351, 5.804, 0.000], [0.000, 0.000, 7.764]], "species": ["K", "Ni", "Au", "Au", "Au", "C", "C", "C", "C", "C", "C", "N", "N", "N", "N", "N", "N"], "frac_coords": [[0.000, 0.000, 0.000], [0.333, 0.667, 0.000], [0.342, 0.171, 0.500], [0.829, 0.171, 0.500], [0.829, 0.658, 0.500], [0.340, 0.011, 0.284], [0.340, 0.330, 0.716], [0.670, 0.011, 0.716], [0.670, 0.660, 0.284], [0.989, 0.330, 0.284], [0.989, 0.660, 0.716], [0.091, 0.426, 0.160], [0.091, 0.665, 0.840], [0.335, 0.426, 0.840], [0.335, 0.909, 0.160], [0.574, 0.665, 0.160], [0.574, 0.909, 0.840]], "e_tot_ev_per_atom": -6.92}

***

4.
{"formula": "Lu3Si3Ni2", "functional": "PBE", "state": "relaxed", "lattice": [[2.047, -4.969, 0.000], [2.047, 4.969, 0.000], [0.000, 0.000, 13.595]], "species": ["Lu", "Lu", "Lu", "Lu", "Lu", "Lu", "Si", "Si", "Si", "Si", "Si", "Si", "Ni", "Ni", "Ni", "Ni"], "frac_coords": [[0.086, 0.914, 0.610], [0.086, 0.914, 0.890], [0.367, 0.633, 0.750], [0.633, 0.367, 0.250], [0.914, 0.086, 0.110], [0.914, 0.086, 0.390], [0.334, 0.666, 0.250], [0.382, 0.618, 0.538], [0.382, 0.618, 0.962], [0.618, 0.382, 0.038], [0.618, 0.382, 0.462], [0.666, 0.334, 0.750], [0.204, 0.796, 0.097], [0.204, 0.796, 0.403], [0.796, 0.204, 0.597], [0.796, 0.204, 0.903]], "e_tot_ev_per_atom": -5.97}

***

no.,spin magnetization (μB per formula unit)
1,0.27
2,0.00
3,2.00
4,0.00